[1]
Cs3BS3 | meta-GGA SCAN | single point on PBEsol structure

a = 6.5600 Å, b = 10.5307 Å, c = 13.5354 Å
α = 102.38°, β = 90.00°, γ = 90.00°
Fractional coordinates of all 28 atoms:
Cs 0.8507 0.2509 0.9912
Cs 0.3507 0.7491 0.5088
Cs 0.1493 0.7491 0.0088
Cs 0.6493 0.2509 0.4912
Cs 0.2148 0.0359 0.3573
Cs 0.7148 0.9641 0.1427
Cs 0.7852 0.9641 0.6427
Cs 0.2852 0.0359 0.8573
Cs 0.0520 0.4027 0.3009
Cs 0.5520 0.5973 0.1991
Cs 0.9480 0.5973 0.6991
Cs 0.4480 0.4027 0.8009
B 0.3727 0.2339 0.1264
B 0.8727 0.7661 0.3736
B 0.6273 0.7661 0.8736
B 0.1273 0.2339 0.6264
S 0.5570 0.2775 0.2306
S 0.0570 0.7225 0.2694
S 0.4430 0.7225 0.7694
S 0.9430 0.2775 0.7306
S 0.2103 0.0900 0.1165
S 0.7103 0.9100 0.3835
S 0.7897 0.9100 0.8835
S 0.2897 0.0900 0.6165
S 0.1541 0.3374 0.5346
S 0.6541 0.6626 0.9654
S 0.8459 0.6626 0.4654
S 0.3459 0.3374 0.0346

For the uncorrected formation energy, the calculation gives -1252 meV per atom. Its final energy is -634.05 eV per cell. As for the crystal system: monoclinic. The total magnetization comes out at 0.00 μB per formula unit.

[2]
Li2Ti3CrO8 | meta-GGA SCAN | single point on PBEsol structure

a = 8.2921 Å, b = 8.2921 Å, c = 8.2921 Å
α = 90.00°, β = 90.00°, γ = 90.00°
Fractional coordinates of all 56 atoms:
Li 0.9976 0.9976 0.9976
Li 0.2524 0.2524 0.2524
Li 0.2476 0.7476 0.7524
Li 0.5024 0.0024 0.4976
Li 0.4976 0.5024 0.0024
Li 0.7524 0.2476 0.7476
Li 0.7476 0.7524 0.2476
Li 0.0024 0.4976 0.5024
Ti 0.1313 0.1187 0.6250
Ti 0.1250 0.3687 0.8813
Ti 0.1187 0.6250 0.1313
Ti 0.3813 0.3750 0.6313
Ti 0.3750 0.6313 0.3813
Ti 0.3687 0.8813 0.1250
Ti 0.6313 0.3813 0.3750
Ti 0.6250 0.1313 0.1187
Ti 0.6187 0.8750 0.8687
Ti 0.8813 0.1250 0.3687
Ti 0.8750 0.8687 0.6187
Ti 0.8687 0.6187 0.8750
Cr 0.1250 0.8750 0.3750
Cr 0.3750 0.1250 0.8750
Cr 0.6250 0.6250 0.6250
Cr 0.8750 0.3750 0.1250
O 0.1171 0.1131 0.3863
O 0.1137 0.8829 0.6131
O 0.1099 0.6099 0.8901
O 0.1369 0.1329 0.8637
O 0.1131 0.3863 0.1171
O 0.1401 0.3599 0.6401
O 0.1363 0.6369 0.3671
O 0.1329 0.8637 0.1369
O 0.3671 0.1363 0.6369
O 0.3637 0.3631 0.8671
O 0.3599 0.6401 0.1401
O 0.3869 0.6137 0.6171
O 0.3631 0.8671 0.3637
O 0.3901 0.3901 0.3901
O 0.3863 0.1171 0.1131
O 0.3829 0.8869 0.8863
O 0.6171 0.3869 0.6137
O 0.6137 0.6171 0.3869
O 0.6099 0.8901 0.1099
O 0.6369 0.3671 0.1363
O 0.6131 0.1137 0.8829
O 0.6401 0.1401 0.3599
O 0.6363 0.8631 0.6329
O 0.6329 0.6363 0.8631
O 0.8671 0.3637 0.3631
O 0.8637 0.1369 0.1329
O 0.8599 0.8599 0.8599
O 0.8869 0.8863 0.3829
O 0.8631 0.6329 0.6363
O 0.8901 0.1099 0.6099
O 0.8863 0.3829 0.8869
O 0.8829 0.6131 0.1137

For the uncorrected formation energy, the calculation gives -2996 meV per atom. Its final energy is -652.17 eV per cell. As for the crystal system: cubic. The total magnetization comes out at 1.98 μB per formula unit.

[3]
SnSbSeN2 | meta-GGA SCAN | single point on PBEsol structure

a = 4.0840 Å, b = 4.0840 Å, c = 5.3600 Å
α = 90.00°, β = 90.00°, γ = 90.00°
Fractional coordinates of all 5 atoms:
Sb 0.0000 0.0000 0.0000
Sn 0.5000 0.5000 0.5000
Se 0.0000 0.0000 0.5000
N 0.0000 0.5000 0.0000
N 0.5000 0.0000 0.0000

For the uncorrected formation energy, the calculation gives 990 meV per atom. Its final energy is -106.89 eV per cell. As for the crystal system: tetragonal. The total magnetization comes out at 1.07 μB per formula unit.

[4]
SrMnTl2 | meta-GGA SCAN | single point on PBEsol structure

a = 4.6468 Å, b = 4.6468 Å, c = 6.5544 Å
α = 69.24°, β = 69.24°, γ = 60.00°
Fractional coordinates of all 4 atoms:
Mn 0.5683 0.5683 0.2950
Sr 0.7569 0.7569 0.7294
Tl 0.9691 0.9691 0.0926
Tl 0.2034 0.2034 0.3897

As for the calculated formation energy: -0.89 eV/f.u. Its final energy is -186.13 eV per cell. As for the crystal system: trigonal. The total magnetization comes out at 4.42 μB per formula unit.

[5]
MnZnRh | meta-GGA SCAN | single point on PBEsol structure

a = 3.0797 Å, b = 3.0797 Å, c = 4.7365 Å
α = 108.97°, β = 108.97°, γ = 90.00°
Fractional coordinates of all 3 atoms:
Zn 0.3333 0.3333 0.6667
Mn 0.0007 0.0007 0.0014
Rh 0.6659 0.6659 0.3319

As for the calculated formation energy: -1.37 eV/f.u. Its final energy is -66.91 eV per cell. As for the crystal system: tetragonal. The total magnetization comes out at 4.08 μB per formula unit.

[6]
Sr3TiH | meta-GGA SCAN | single point on PBEsol structure

a = 5.3082 Å, b = 5.3082 Å, c = 5.3082 Å
α = 90.00°, β = 90.00°, γ = 90.00°
Fractional coordinates of all 5 atoms:
Sr 0.0000 0.5000 0.0000
Sr 0.0000 0.0000 0.5000
Sr 0.5000 0.0000 0.0000
H 0.0000 0.0000 0.0000
Ti 0.5000 0.5000 0.5000

Its final energy is -85.49 eV per cell. As for the crystal system: cubic. The total magnetization comes out at 3.23 μB per formula unit.

[7]
In2Hg | meta-GGA SCAN | single point on PBEsol structure

a = 3.4016 Å, b = 3.4016 Å, c = 6.7450 Å
α = 104.61°, β = 104.61°, γ = 90.00°
Fractional coordinates of all 3 atoms:
Hg 0.0000 0.0000 0.0000
In 0.6622 0.6622 0.3244
In 0.3378 0.3378 0.6756

As for the calculated formation energy: 0.16 eV/f.u. Its final energy is -134.78 eV per cell. As for the crystal system: tetragonal. The total magnetization comes out at 0.00 μB per formula unit.

[8]
Ca2TlHg | meta-GGA SCAN | single point on PBEsol structure

a = 5.3159 Å, b = 5.3159 Å, c = 5.3159 Å
α = 60.00°, β = 60.00°, γ = 60.00°
Fractional coordinates of all 4 atoms:
Tl 0.0000 0.0000 0.0000
Ca 0.7500 0.7500 0.7500
Ca 0.2500 0.2500 0.2500
Hg 0.5000 0.5000 0.5000

As for the calculated formation energy: -2.74 eV/f.u. Its final energy is -162.59 eV per cell. As for the crystal system: cubic. The total magnetization comes out at 0.00 μB per formula unit.